[1]
A relaxed structure of AlPbCl2. Source: Alexandria, functional PBE.

Lattice parameters (Å, degrees): 3.641 4.059 7.051 90.00 90.00 90.00
Space group Pmm2 (No. 25)
Unique sites:
Al 0.000 0.000 0.000 [1 per cell]
Pb 0.500 0.500 0.644 [1 per cell]
Cl 0.000 0.000 0.329 [1 per cell]
Cl 0.500 0.500 0.048 [1 per cell]

Properties
formation energy from raw total energies	-0.482	eV/atom
electronic total energy	-3.268	eV per atom
E above lowest polymorph	0.111	eV per atom

***

[2]
A relaxed structure of Ca2ThF8. Source: Alexandria, functional PBE.

Lattice parameters (Å, degrees): 6.891 10.309 4.123 90.00 102.94 90.00
Space group C2/m (No. 12)
Unique sites:
Ca 0.000 0.176 0.000 [4 per cell]
Th 0.000 0.500 0.500 [2 per cell]
F 0.000 0.273 0.500 [4 per cell]
F 0.153 0.000 0.340 [4 per cell]
F 0.180 0.378 0.072 [8 per cell]

Properties
formation energy from raw total energies	-3.941	eV/atom
electronic total energy	-6.341	eV per atom

***

[3]
A relaxed structure of Sb2RhAu. Source: Alexandria, functional PBE.

Lattice parameters (Å, degrees): 3.6600 3.6600 22.3620 90.00 90.00 120.00
Space group R-3m (No. 166, hexagonal axes)
Unique sites:
Sb 0.0000 0.0000 0.2417 [6 per cell]
Rh 0.0000 0.0000 0.5000 [3 per cell]
Au 0.0000 0.0000 0.0000 [3 per cell]

Properties
formation energy from raw total energies	-0.130	eV/atom
electronic total energy	-4.848	eV per atom

***

[4]
A relaxed structure of La5Ga2Ag2. Source: Alexandria, functional PBE.

Lattice parameters (Å, degrees): 16.913 8.049 7.859 90.00 90.00 90.00
Space group Cmce (No. 64)
Unique sites:
La 0.000 0.000 0.000 [4 per cell]
La 0.137 0.183 0.323 [16 per cell]
Ga 0.000 0.117 0.613 [8 per cell]
Ag 0.214 0.000 0.000 [8 per cell]

Properties
formation enthalpy at 0 K	-3.15	eV per formula unit
electronic total energy	-4.394	eV per atom

***

[5]
A relaxed structure of K2LiMnH6. Source: Alexandria, functional PBE.

Lattice parameters (Å, degrees): 5.6398 5.6398 4.8552 90.00 90.00 120.00
Space group P-3m1 (No. 164)
Unique sites:
K 0.3333 0.6667 0.2335 [2 per cell]
Li 0.0000 0.0000 0.5000 [1 per cell]
Mn 0.0000 0.0000 0.0000 [1 per cell]
H 0.1370 0.2740 0.7928 [6 per cell]

Properties
electronic total energy	-3.552	eV per atom

***

[6]
A relaxed structure of Rb3Tl3AgBr8. Source: Alexandria, functional PBE.

Lattice parameters (Å, degrees): 16.526 9.631 9.602 90.00 124.94 90.00
Space group C2/m (No. 12)
Unique sites:
Rb 0.000 0.000 0.000 [2 per cell]
Rb 0.250 0.250 0.500 [4 per cell]
Tl 0.000 0.500 0.500 [2 per cell]
Tl 0.250 0.250 0.000 [4 per cell]
Ag 0.000 0.500 0.000 [2 per cell]
Br 0.003 0.289 0.786 [8 per cell]
Br 0.199 0.500 0.195 [4 per cell]
Br 0.248 0.500 0.753 [4 per cell]

Properties
formation energy from raw total energies	-1.060	eV/atom
electronic total energy	-2.809	eV per atom

***

[7]
A relaxed structure of NaNiSn2Se. Source: Alexandria, functional PBE.

Lattice parameters (Å, degrees): 5.471 5.471 4.450 90.00 90.00 90.00
Space group P4/mmm (No. 123)
Unique sites:
Na 0.000 0.000 0.000 [1 per cell]
Ni 0.000 0.000 0.500 [1 per cell]
Sn 0.000 0.500 0.000 [2 per cell]
Se 0.500 0.500 0.500 [1 per cell]

Properties
formation energy from raw total energies	0.930	eV/atom
electronic total energy	-2.788	eV per atom

***

[8]
A relaxed structure of RbCdPb11. Source: Alexandria, functional PBE.

Lattice parameters (Å, degrees): 6.524 16.077 8.823 90.00 109.83 90.00
Space group C2/m (No. 12)
Unique sites:
Rb 0.000 0.000 0.000 [2 per cell]
Cd 0.000 0.500 0.500 [2 per cell]
Pb 0.000 0.000 0.500 [2 per cell]
Pb 0.104 0.391 0.226 [8 per cell]
Pb 0.176 0.178 0.356 [8 per cell]
Pb 0.250 0.250 0.000 [4 per cell]

Properties
formation enthalpy at 0 K	-0.26	eV per formula unit
electronic total energy	-3.302	eV per atom

***

[9]
A relaxed structure of Y4AlTlHg2. Source: Alexandria, functional PBE.

Lattice parameters (Å, degrees): 5.2608 5.2608 25.8748 90.00 90.00 120.00
Space group R-3m (No. 166, hexagonal axes)
Unique sites:
Y 0.0000 0.0000 0.1222 [6 per cell]
Y 0.0000 0.0000 0.3725 [6 per cell]
Al 0.0000 0.0000 0.0000 [3 per cell]
Tl 0.0000 0.0000 0.5000 [3 per cell]
Hg 0.0000 0.0000 0.2514 [6 per cell]

Properties
formation enthalpy at 0 K	-3.55	eV per formula unit
electronic total energy	-4.515	eV per atom

***

[10]
A relaxed structure of NdAl2Si2. Source: Alexandria, functional PBE.

Lattice parameters (Å, degrees): 4.2279 4.2279 6.8361 90.00 90.00 120.00
Space group P-3m1 (No. 164)
Unique sites:
Nd 0.0000 0.0000 0.0000 [1 per cell]
Al 0.3333 0.6667 0.6407 [2 per cell]
Si 0.3333 0.6667 0.2681 [2 per cell]

Properties
formation energy from raw total energies	-0.390	eV/atom
electronic total energy	-5.010	eV per atom